This record from Alexandria via LeMat-Bulk describes a relaxed Sm2Mg3Pb3 crystal. The functional is PBE.

calculated formation energy	-0.346	eV per atom
space-group type	Pmmm

abc: 4.763 4.890 9.179
angles: 90.00 90.00 90.00
Fractional coordinates of all 8 atoms:
Sm 0.000 0.000 0.247
Sm 0.000 0.000 0.753
Mg 0.000 0.500 0.500
Mg 0.500 0.500 0.258
Mg 0.500 0.500 0.742
Pb 0.000 0.500 0.000
Pb 0.500 0.000 0.000
Pb 0.500 0.000 0.500